(1)
Density functional theory data (GGA-PBE) for a relaxed Sc2Mo2N crystal.

```
Sc2Mo2N
1.0
5.6700 0.0000 0.0000
0.0000 5.6700 0.0000
0.0000 0.0000 5.1001
Sc Mo N
4 4 2
Direct
0.1651 0.3349 0.0000
0.3349 0.8349 0.0000
0.6651 0.1651 0.0000
0.8349 0.6651 0.0000
0.1719 0.6719 0.5000
0.3281 0.1719 0.5000
0.6719 0.8281 0.5000
0.8281 0.3281 0.5000
0.0000 0.0000 0.5000
0.5000 0.5000 0.5000
```

Energy relative to the elements, uncorrected in eV/atom: 0.083
Symmetry: P4/mbm, No. 127
Excess energy over the best structure of this formula in the dataset in meV/atom: 0.0
Electronic total energy in eV/atom: -8.45


(2)
Density functional theory data (GGA-PBE) for a relaxed Sc3MoN crystal.

```
Sc3MoN
1.0
4.9139 0.0000 0.0000
0.0000 4.9139 0.0000
0.0000 0.0000 4.9139
Sc Mo N
3 1 1
Direct
0.0000 0.0000 0.5000
0.0000 0.5000 0.0000
0.5000 0.0000 0.0000
0.0000 0.0000 0.0000
0.5000 0.5000 0.5000
```

Energy relative to the elements, uncorrected in eV/atom: 1.335
Symmetry: Pm-3m, No. 221
Excess energy over the best structure of this formula in the dataset in meV/atom: 1886.0
Electronic total energy in eV/atom: -6.30


(3)
Density functional theory data (GGA-PBE) for a relaxed ScMo3N crystal.

```
ScMo3N
1.0
4.2052 0.0000 0.0000
0.0000 4.2052 0.0000
0.0000 0.0000 4.2052
Sc Mo N
1 3 1
Direct
0.0000 0.0000 0.0000
0.0000 0.5000 0.5000
0.5000 0.0000 0.5000
0.5000 0.5000 0.0000
0.5000 0.5000 0.5000
```

Energy relative to the elements, uncorrected in eV/atom: -0.166
Symmetry: Pm-3m, No. 221
Excess energy over the best structure of this formula in the dataset in meV/atom: 0.0
Electronic total energy in eV/atom: -9.60


(4)
Density functional theory data (GGA-PBE) for a relaxed Sc3MoN crystal.

```
Sc3MoN
1.0
4.3985 0.0000 0.0000
0.0000 4.3985 0.0000
0.0000 0.0000 4.3985
Sc Mo N
3 1 1
Direct
0.0000 0.0000 0.5000
0.0000 0.5000 0.0000
0.5000 0.0000 0.0000
0.5000 0.5000 0.5000
0.0000 0.0000 0.0000
```

Energy relative to the elements, uncorrected in eV/atom: -0.551
Symmetry: Pm-3m, No. 221
Excess energy over the best structure of this formula in the dataset in meV/atom: 0.0
Electronic total energy in eV/atom: -8.18


Number 1: ρ 5.99 g cm⁻³. Number 2: ρ 3.43 g cm⁻³. Number 3: ρ 7.74 g cm⁻³. Number 4: ρ 4.78 g cm⁻³.